<1>
Computed, not measured: TbTmAgAu after structural relaxation at the PBE level of DFT.

Computed properties:
calculated volume: 93.2 Å³/cell
Fermi-level density of states: 0.703 states/eV per atom
magnetic moment: 0.000 μB/cell
space-group type: No. 216

abc: 5.0892 5.0892 5.0892
angles: 60.00 60.00 60.00
Element x y z (fractional)
Tb 0.0000 0.0000 0.0000
Tm 0.5000 0.5000 0.5000
Au 0.7500 0.7500 0.7500
Ag 0.2500 0.2500 0.2500

---

<2>
Computed, not measured: TbTmAgAu after structural relaxation at the PBE level of DFT.

Computed properties:
calculated volume: 93.2 Å³/cell
Fermi-level density of states: 0.579 states/eV per atom
magnetic moment: 0.000 μB/cell
space-group type: No. 99

abc: 3.5771 3.5771 7.2850
angles: 90.00 90.00 90.00
Element x y z (fractional)
Tb 0.5000 0.5000 0.6019
Tm 0.5000 0.5000 0.1124
Ag 0.0000 0.0000 0.8675
Au 0.0000 0.0000 0.3462

---

Relative energy of each structure, in meV per atom: <1> 8; <2> 0.

---

<1>
Computed, not measured: Tc2AgAu after structural relaxation at the PBE level of DFT.

Computed properties:
calculated volume: 64.4 Å³/cell
Fermi-level density of states: 1.075 states/eV per atom
magnetic moment: 0.000 μB/cell
space-group type: No. 225

abc: 4.4984 4.4984 4.4984
angles: 60.00 60.00 60.00
Element x y z (fractional)
Au 0.5000 0.5000 0.5000
Tc 0.2500 0.2500 0.2500
Tc 0.7500 0.7500 0.7500
Ag 0.0000 0.0000 0.0000

---

<2>
Computed, not measured: Tc2AgAu after structural relaxation at the PBE level of DFT.

Computed properties:
calculated volume: 64.8 Å³/cell
Fermi-level density of states: 0.854 states/eV per atom
magnetic moment: 0.000 μB/cell
space-group type: No. 47

abc: 4.4599 2.7318 5.9828
angles: 62.80 90.00 90.00
Element x y z (fractional)
Ag 0.5000 0.2500 0.2500
Au 0.5000 0.7500 0.7500
Tc 0.0000 0.9750 0.0253
Tc 0.0000 0.5250 0.4747

---

Relative energy of each structure, in meV per atom: <1> 286; <2> 0.